Record 1
First-principles (PBEsol) data for InPb3 after structural relaxation, as listed in Alexandria.

Results
SG: Cmmm, No. 65
VASP energy (eV per atom): -3.73
Fermi-level density of states (states/eV per cell): 1.79
ΔH_f (0 K) (eV/f.u.): 0.04

Lattice parameters (Å, degrees): 3.3491 6.0791 6.0791 112.09 90.00 90.00
Positions (direct):
Pb  0.5000  0.0000  0.5000
Pb  0.5000  0.5000  0.0000
Pb  0.0000  0.5000  0.5000
In  0.0000  0.0000  0.0000

***

Record 2
First-principles (PBEsol) data for InPb3 after structural relaxation, as listed in Alexandria.

Results
SG: P-6m2, No. 187
VASP energy (eV per atom): -3.71
Fermi-level density of states (states/eV per cell): 2.69
ΔH_f (0 K) (eV/f.u.): 0.13

Lattice parameters (Å, degrees): 3.3941 3.3941 11.4597 90.00 90.00 120.00
Positions (direct):
Pb  0.0000  0.0000  0.5000
Pb  0.3333  0.6667  0.7556
Pb  0.3333  0.6667  0.2444
In  0.0000  0.0000  0.0000

***

Record 3
First-principles (PBEsol) data for InPb after structural relaxation, as listed in Alexandria.

Results
SG: P-3m1, No. 164
VASP energy (eV per atom): -3.46
Fermi-level density of states (states/eV per cell): 2.05
ΔH_f (0 K) (eV/f.u.): 0.05

Lattice parameters (Å, degrees): 3.3591 3.3591 11.3592 90.00 90.00 120.00
Positions (direct):
Pb  0.3333  0.6667  0.6307
Pb  0.6667  0.3333  0.3693
In  0.3333  0.6667  0.1188
In  0.6667  0.3333  0.8812

***

Record 4
First-principles (PBEsol) data for InPb3 after structural relaxation, as listed in Alexandria.

Results
SG: Pmmm, No. 47
VASP energy (eV per atom): -3.74
Fermi-level density of states (states/eV per cell): 1.80
ΔH_f (0 K) (eV/f.u.): 0.03

Lattice parameters (Å, degrees): 3.4073 4.9386 6.8242 90.00 90.00 90.00
Positions (direct):
Pb  0.5000  0.5000  0.7562
Pb  0.0000  0.0000  0.5000
Pb  0.5000  0.5000  0.2438
In  0.0000  0.0000  0.0000

***

Record 5
First-principles (PBEsol) data for In2Pb after structural relaxation, as listed in Alexandria.

Results
SG: C2/m, No. 12
VASP energy (eV per atom): -3.31
Fermi-level density of states (states/eV per cell): 3.01
ΔH_f (0 K) (eV/f.u.): 0.03
E above lowest polymorph (meV per atom): 0.0

Lattice parameters (Å, degrees): 3.4372 5.9761 8.8777 111.59 90.00 106.71
Positions (direct):
Pb  0.1684  0.3367  0.1014
Pb  0.8316  0.6633  0.8986
In  0.5145  0.0289  0.7540
In  0.8416  0.6831  0.4396
In  0.1584  0.3169  0.5604
In  0.4855  0.9711  0.2460

***

Record 6
First-principles (PBEsol) data for InPb after structural relaxation, as listed in Alexandria.

Results
SG: C2/m, No. 12
VASP energy (eV per atom): -3.48
Fermi-level density of states (states/eV per cell): 1.96
ΔH_f (0 K) (eV/f.u.): 0.02

Lattice parameters (Å, degrees): 3.5315 5.6608 5.9626 103.69 107.23 90.00
Positions (direct):
Pb  0.6199  0.8516  0.2399
Pb  0.3801  0.1484  0.7601
In  0.1304  0.3644  0.2608
In  0.8696  0.6356  0.7392

***

Record 7
First-principles (PBEsol) data for InPb3 after structural relaxation, as listed in Alexandria.

Results
SG: Pm-3m, No. 221
VASP energy (eV per atom): -3.73
Fermi-level density of states (states/eV per cell): 2.28
ΔH_f (0 K) (eV/f.u.): 0.04

Lattice parameters (Å, degrees): 4.8625 4.8625 4.8625 90.00 90.00 90.00
Positions (direct):
Pb  0.0000  0.5000  0.5000
Pb  0.5000  0.0000  0.5000
Pb  0.5000  0.5000  0.0000
In  0.0000  0.0000  0.0000

***

Record 8
First-principles (PBEsol) data for InPb3 after structural relaxation, as listed in Alexandria.

Results
SG: Fm-3m, No. 225
VASP energy (eV per atom): -3.71
Fermi-level density of states (states/eV per cell): 2.25
ΔH_f (0 K) (eV/f.u.): 0.15

Lattice parameters (Å, degrees): 5.4511 5.4511 5.4511 60.00 60.00 60.00
Positions (direct):
Pb  0.2500  0.2500  0.2500
Pb  0.5000  0.5000  0.5000
Pb  0.7500  0.7500  0.7500
In  0.0000  0.0000  0.0000

***

Look up the Fermi-level density of states of the first one.
1.79 states/eV per cell

***

Which formula does entry 5 have?
In2Pb